Computed, not measured: TcCl3 after structural relaxation at the GGA-PBEsol level of DFT.

Geometry as extended XYZ:
```
24
Lattice="5.0150 2.8954 7.2831 -5.0150 2.8954 7.2831 0.0000 -5.7909 7.2831" Properties=species:S:1:pos:R:3 pbc="T T T"
Tc -1.1967 -0.6909 6.0720
Tc 1.1967 -0.6909 6.0720
Tc 0.0000 1.3818 6.0720
Tc 0.0000 -1.3818 15.7772
Tc -1.1967 0.6909 15.7772
Tc 1.1967 0.6909 15.7772
Cl -3.4641 -2.0000 10.6762
Cl 0.0000 -2.7362 6.1041
Cl -2.3696 1.3681 6.1041
Cl -1.5784 -0.9113 8.3878
Cl 0.0000 -4.0000 11.1730
Cl -3.4641 2.0000 11.1730
Cl -2.3696 -1.3681 15.7451
Cl 1.5784 -0.9113 8.3878
Cl 0.0000 1.8226 8.3878
Cl 0.0000 -1.8226 13.4613
Cl -1.5784 0.9113 13.4613
Cl 2.3696 1.3681 6.1040
Cl 3.4641 -2.0000 10.6762
Cl 0.0000 4.0000 10.6762
Cl 1.5784 0.9113 13.4613
Cl 2.3696 -1.3681 15.7451
Cl 0.0000 2.7362 15.7451
Cl 3.4641 2.0000 11.1730
```

Summary:
The value obtained for the formation energy from raw total energies is -746 meV per atom. The magnetization comes out at 0.0 μB per formula unit.

***

Computed, not measured: TeIrO3 after structural relaxation at the GGA-PBEsol level of DFT.

Geometry as extended XYZ:
```
5
Lattice="4.0686 0.0000 0.0000 0.0000 4.0686 0.0000 0.0000 0.0000 4.0686" Properties=species:S:1:pos:R:3 pbc="T T T"
Te 0.0000 0.0000 0.0000
Ir 2.0343 2.0343 2.0343
O 0.0000 0.0000 2.0343
O 0.0000 2.0343 0.0000
O 2.0343 0.0000 0.0000
```

Summary:
The value obtained for the formation energy from raw total energies is 561 meV per atom. The magnetization comes out at 2.5 μB per formula unit. The density of states at the Fermi level is 1.03 states/eV per atom.

***

Computed, not measured: CaTi2HgC after structural relaxation at the GGA-PBEsol level of DFT.

Geometry as extended XYZ:
```
5
Lattice="4.2377 0.0000 0.0000 0.0000 4.2377 0.0000 0.0000 0.0000 5.0423" Properties=species:S:1:pos:R:3 pbc="T T T"
Ca 0.0000 0.0000 0.0000
Ti 0.0000 2.1188 2.5212
Ti 2.1188 0.0000 2.5212
Hg 2.1188 2.1188 0.0000
C 2.1188 2.1188 2.5212
```

Summary:
For the energy relative to the elements, the calculation gives 0.17 eV per atom. The magnetization comes out at 0.0 μB per formula unit. The density of states at the Fermi level is 1.25 states/eV per atom.

***

Computed, not measured: OsBrNO2 after structural relaxation at the GGA-PBEsol level of DFT.

Geometry as extended XYZ:
```
5
Lattice="3.6193 0.0000 0.0000 0.0000 3.6193 0.0000 0.0000 0.0000 4.7750" Properties=species:S:1:pos:R:3 pbc="T T T"
Os 0.0000 0.0000 0.0000
Br 1.8097 1.8097 2.3875
N 1.8097 1.8097 0.0000
O 0.0000 1.8097 2.3875
O 1.8097 0.0000 2.3875
```

Summary:
The value obtained for the formation energy from raw total energies is 2024 meV per atom. The magnetization comes out at 3.3 μB per formula unit. The density of states at the Fermi level is 0.78 states/eV per atom.

***

Computed, not measured: CaAu3 after structural relaxation at the GGA-PBEsol level of DFT.

Geometry as extended XYZ:
```
4
Lattice="-2.1173 2.1173 4.2055 2.1173 -2.1173 4.2055 2.1173 2.1173 -4.2055" Properties=species:S:1:pos:R:3 pbc="T T T"
Ca 0.0000 0.0000 0.0000
Au 2.1173 0.0000 2.1027
Au 0.0000 0.0000 4.2055
Au 0.0000 2.1173 2.1027
```

Summary:
For the energy relative to the elements, the calculation gives -0.51 eV per atom. The magnetization comes out at 0.0 μB per formula unit. The density of states at the Fermi level is 0.35 states/eV per atom.

***

Computed, not measured: Sr2V3O9 after structural relaxation at the GGA-PBEsol level of DFT.

Geometry as extended XYZ:
```
28
Lattice="3.7545 -8.0751 0.0000 3.7545 8.0751 0.0000 -3.4353 0.0000 6.0185" Properties=species:S:1:pos:R:3 pbc="T T T"
Sr 2.0369 7.2768 3.0093
Sr 0.2996 2.0101 6.0007
Sr 2.0173 -2.0101 2.9914
Sr 3.7545 -7.2768 0.0000
V 1.1347 4.1038 1.6733
V 0.3089 5.5004 5.9987
V 2.0354 1.2765 3.0049
V -0.5830 -4.1038 4.6826
V 0.3178 -1.2765 6.0141
V 2.0266 -5.5004 2.9895
O -1.6340 1.5562 4.3438
O 2.3835 4.4502 0.1895
O 0.0836 -1.5562 1.3345
O 2.0595 4.6103 2.9679
O 1.7784 2.2521 1.5603
O 0.6965 0.2869 3.1934
O 2.4142 -0.2869 0.1842
O 1.6740 4.4478 5.8173
O 0.0607 -2.2521 4.5696
O 2.2848 2.2433 4.4543
O 0.6659 -4.4502 3.1988
O 3.3741 0.2949 2.8037
O 1.6564 -0.2949 5.8130
O 4.0025 -2.2433 1.4450
O 5.6874 1.5816 1.6183
O 0.3418 -4.6103 5.9772
O 3.3916 -4.4478 2.8081
O 3.9698 -1.5816 4.6276
```

Summary:
The value obtained for the formation energy from raw total energies is -2697 meV per atom. The magnetization comes out at 1.0 μB per formula unit. The density of states at the Fermi level is 0.16 states/eV per atom.

***

Computed, not measured: SrLa2Cl after structural relaxation at the GGA-PBEsol level of DFT.

Geometry as extended XYZ:
```
4
Lattice="-2.4023 2.4023 5.4838 2.4023 -2.4023 5.4838 2.4023 2.4023 -5.4838" Properties=species:S:1:pos:R:3 pbc="T T T"
Sr 0.0000 0.0000 0.0000
La 2.4023 0.0000 2.7419
La 0.0000 0.0000 5.4838
Cl 0.0000 2.4023 2.7419
```

Summary:
The value obtained for the formation energy from raw total energies is -112 meV per atom. The magnetization comes out at 0.0 μB per formula unit. The density of states at the Fermi level is 1.68 states/eV per atom.

***

Computed, not measured: La2MgNbO6 after structural relaxation at the GGA-PBEsol level of DFT.

Geometry as extended XYZ:
```
20
Lattice="5.6394 0.0000 0.0000 0.0000 5.6906 0.0000 -5.6271 0.0000 7.9395" Properties=species:S:1:pos:R:3 pbc="T T T"
La -0.0553 0.3280 1.9740
La -2.8688 2.5173 5.9437
La 2.8811 3.1733 1.9958
La 0.0676 5.3626 5.9655
Mg 2.8197 0.0000 0.0000
Mg 0.0062 2.8453 3.9697
Nb -2.8136 0.0000 3.9697
Nb 0.0000 2.8453 0.0000
O -4.4815 1.1752 7.5099
O -1.6679 1.6701 3.5402
O -3.9472 3.9689 7.5867
O -1.1336 4.5670 3.6169
O -2.2816 0.0965 5.9472
O 0.5319 2.7488 1.9775
O -0.5196 2.9418 5.9620
O 2.2939 5.5941 1.9922
O 1.1459 1.1236 4.3226
O 3.9595 1.7217 0.3528
O 1.6802 4.0204 4.3993
O 4.4938 4.5154 0.4295
```

Summary:
The value obtained for the formation energy from raw total energies is -3057 meV per atom. The magnetization comes out at 1.0 μB per formula unit. The density of states at the Fermi level is 0.13 states/eV per atom.

***

Computed, not measured: ScTcCl2 after structural relaxation at the GGA-PBEsol level of DFT.

Geometry as extended XYZ:
```
4
Lattice="3.8012 0.0000 0.0000 0.0000 3.1341 0.0000 -1.8851 0.0000 6.8099" Properties=species:S:1:pos:R:3 pbc="T T T"
Sc 0.0000 0.0000 0.0000
Tc 1.9011 1.5671 1.1405
Cl 0.0151 1.5671 5.5489
Cl 1.9026 0.0000 2.8707
```

Summary:
The value obtained for the formation energy from raw total energies is -693 meV per atom. The magnetization comes out at 0.0 μB per formula unit. The density of states at the Fermi level is 0.01 states/eV per atom.

***

Computed, not measured: Cd4InAu after structural relaxation at the GGA-PBEsol level of DFT.

Geometry as extended XYZ:
```
6
Lattice="0.0000 3.9947 3.9947 3.9947 0.0000 3.9947 3.9947 3.9947 0.0000" Properties=species:S:1:pos:R:3 pbc="T T T"
Cd 0.9952 0.9952 0.9952
Cd 2.9994 2.9994 0.9952
Cd 2.9994 0.9952 2.9994
Cd 0.9952 2.9994 2.9994
In 3.9947 3.9947 3.9947
Au 5.9920 5.9920 5.9920
```

Summary:
For the energy relative to the elements, the calculation gives 0.12 eV per atom. The magnetization comes out at 0.0 μB per formula unit. The density of states at the Fermi level is 0.30 states/eV per atom.

***

Computed, not measured: BaMg2Mo after structural relaxation at the GGA-PBEsol level of DFT.

Geometry as extended XYZ:
```
4
Lattice="3.5643 0.0000 0.0000 0.0000 3.5643 0.0000 0.0000 0.0000 8.1671" Properties=species:S:1:pos:R:3 pbc="T T T"
Ba 0.0000 0.0000 0.0000
Mg 0.0000 0.0000 4.6388
Mg 1.7822 1.7822 2.9072
Mo 1.7822 1.7822 5.8797
```

Summary:
For the energy relative to the elements, the calculation gives 0.69 eV per atom. The magnetization comes out at 2.1 μB per formula unit. The density of states at the Fermi level is 0.98 states/eV per atom.

***

Computed, not measured: Ba2CaAu2 after structural relaxation at the GGA-PBEsol level of DFT.

Geometry as extended XYZ:
```
10
Lattice="8.3582 0.0000 0.0000 0.0000 8.3582 0.0000 0.0000 0.0000 4.6491" Properties=species:S:1:pos:R:3 pbc="T T T"
Ba 1.3741 2.8050 0.0000
Ba 2.8050 6.9842 0.0000
Ba 5.5532 1.3741 0.0000
Ba 6.9842 5.5532 0.0000
Ca 0.0000 0.0000 2.3246
Ca 4.1791 4.1791 2.3246
Au 1.1146 5.2937 2.3246
Au 3.0645 1.1146 2.3246
Au 5.2937 7.2436 2.3246
Au 7.2436 3.0645 2.3246
```

Summary:
For the energy relative to the elements, the calculation gives -0.57 eV per atom. The magnetization comes out at 0.0 μB per formula unit. The density of states at the Fermi level is 0.68 states/eV per atom.